9
Lattice="-2.2809 1.5353 -3.8537 -1.7623 -6.1178 -4.3020 -7.5158 0.1295 1.5923" Properties=species:S:1:pos:R:3 comment="PBE In4Sn4Pb, optimized geometry" delta_e_f_kj_per_mol_fu=30 e_above_lowest_polymorph_mev_per_atom=0 crystal_system=tetragonal energy_ev_per_cell=-30.36 magnetic_moment_mub_per_atom=0.00 pbc="T T T"
In -3.9378 -0.2103 -2.1147
In -7.6213 -4.2426 -4.4487
In -4.3523 -4.7969 -3.6967
In -7.2068 0.3440 -2.8667
Sn -8.1859 -0.6008 0.2441
Sn -3.3732 -3.8521 -6.8075
Sn -5.3180 -1.7385 -4.8143
Sn -6.2411 -2.7144 -1.7491
Pb -2.0216 -2.2912 -4.0778

---

11
Lattice="-4.7809 1.9699 -4.9036 -2.1768 -3.1374 6.0167 1.6422 7.7352 3.2261" Properties=species:S:1:pos:R:3 comment="PBE Cs2Ce2ErS6, optimized geometry" crystal_system=monoclinic raw_formation_energy_mev_per_atom=-1843 energy_ev_per_cell=-63.18 magnetic_moment_mub_per_atom=0.09 pbc="T T T"
Cs -4.3468 1.1186 -3.0833
Cs -2.6109 -2.2861 4.1964
Ce -2.2253 2.4356 3.9832
Ce -3.0902 4.1320 0.3560
Er 0.8211 3.8676 1.6131
S -3.9886 4.3753 2.9974
S -0.0034 4.1288 4.2301
S -1.3269 2.1924 1.3418
S -0.8627 5.8141 0.6267
S -5.3121 2.4389 0.1091
S -4.4528 0.7536 3.7125